1.
Density functional theory data (GGA-PBE) for crystalline LaPSe2Br at its relaxed geometry.

Computed properties:
- E_tot (eV/atom) = -4.467
- M_tot (μB/f.u.) = 0.2
- raw formation energy (eV per atom) = -0.671
- offset from the most stable computed form (meV/atom) = 0
- DOS at the Fermi energy (states/eV/atom) = 0.721
- crystal system = tetragonal

abc: 5.0619 5.0619 4.8821
angles: 90.00 90.00 90.00
Element x y z (fractional)
La: 0.0000 0.0000 0.0000
P: 0.5000 0.5000 0.5000
Se: 0.0000 0.5000 0.5000
Se: 0.5000 0.0000 0.5000
Br: 0.5000 0.5000 0.0000


2.
Density functional theory data (GGA-PBE) for crystalline La8PSe3Br4 at its relaxed geometry.

Computed properties:
- E_tot (eV/atom) = -5.512
- M_tot (μB/f.u.) = 0.0
- raw formation energy (eV per atom) = -1.638
- DOS at the Fermi energy (states/eV/atom) = 0.657
- crystal system = trigonal

abc: 8.7199 8.7199 8.7199
angles: 59.19 59.19 59.19
Element x y z (fractional)
La: 0.2432 0.2432 0.2432
La: 0.2532 0.7347 0.7347
La: 0.2653 0.2653 0.7468
La: 0.2653 0.7468 0.2653
La: 0.7347 0.2532 0.7347
La: 0.7347 0.7347 0.2532
La: 0.7468 0.2653 0.2653
La: 0.7568 0.7568 0.7568
P: 0.5000 0.5000 0.5000
Se: 0.0000 0.0000 0.5000
Se: 0.0000 0.5000 0.0000
Se: 0.5000 0.0000 0.0000
Br: 0.0000 0.0000 0.0000
Br: 0.0000 0.5000 0.5000
Br: 0.5000 0.0000 0.5000
Br: 0.5000 0.5000 0.0000


Which of these has the highest M_tot? LaPSe2Br